# Li2HfTl

A geometry-optimized Li2HfTl structure (GGA-PBE, Alexandria via LeMat-Bulk).

abc: 6.0818 6.0818 6.0818
angles: 103.29 103.29 122.70
Last column: nearest neighbours and their distance in Å.
Positions (direct):
Li 0.1000 0.6250 0.9750  2 Tl 2.64, 2 Hf 2.90, 2 Li 2.94
Li 0.3750 0.3500 0.4750  2 Tl 2.64, 2 Hf 2.90, 2 Li 2.94
Li 0.6500 0.1250 0.0250  2 Tl 2.64, 2 Hf 2.90, 2 Li 2.94
Li 0.8750 0.9000 0.5250  2 Tl 2.64, 2 Hf 2.90, 2 Li 2.94
Hf 0.2500 0.7500 0.5000  4 Li 2.90, 2 Tl 2.92
Hf 0.5000 0.5000 0.0000  4 Li 2.90, 2 Tl 2.92
Tl 0.0000 0.0000 0.0000  4 Li 2.64, 2 Hf 2.92
Tl 0.7500 0.2500 0.5000  4 Li 2.64, 2 Hf 2.92

Calculated values
Polymorph energy (0 for the lowest one) ... 244 meV per atom
DOS at the Fermi energy ... 5.1 states/eV/cell
DFT total energy ... -3.63 eV per atom
ΔE_f ... 0.4055 eV per atom



# BaSrCd4

A geometry-optimized BaSrCd4 structure (GGA-PBE, Alexandria via LeMat-Bulk).

abc: 6.6501 6.6501 6.6501
angles: 134.57 101.79 95.39
Last column: nearest neighbours and their distance in Å.
Positions (direct):
Ba 0.0000 0.0000 0.0000  12 Cd 3.63-3.66
Sr 0.5000 0.0000 0.5000  12 Cd 3.61-3.67
Cd 0.0887 0.3337 0.7550  3 Cd 2.97-2.98
Cd 0.4214 0.6663 0.7550  3 Cd 2.97-2.98
Cd 0.5786 0.3337 0.2450  3 Cd 2.97-2.98
Cd 0.9113 0.6663 0.2450  3 Cd 2.97-2.98

Calculated values
Polymorph energy (0 for the lowest one) ... 0 meV per atom
DOS at the Fermi energy ... 4.8 states/eV/cell
DFT total energy ... -1.53 eV per atom
ΔE_f ... -0.3239 eV per atom



# AlGa2S4

A geometry-optimized AlGa2S4 structure (GGA-PBE, Alexandria via LeMat-Bulk).

abc: 5.9335 5.9335 5.9335
angles: 106.56 106.56 115.46
Last column: nearest neighbours and their distance in Å.
Positions (direct):
Al 0.0000 0.0000 0.0000  4 S 2.35
Ga 0.2500 0.7500 0.5000  4 S 2.38
Ga 0.7500 0.2500 0.5000  4 S 2.38
S 0.1466 0.2967 0.4433  1 Al 2.35, 2 Ga 2.38
S 0.2967 0.8534 0.1502  1 Al 2.35, 2 Ga 2.38
S 0.7033 0.1466 0.8498  1 Al 2.35, 2 Ga 2.38
S 0.8534 0.7033 0.5567  1 Al 2.35, 2 Ga 2.38

Calculated values
DOS at the Fermi energy ... 2.9 states/eV/cell
DFT total energy ... -4.25 eV per atom
ΔE_f (raw) ... -488.2 meV per atom



# HfPbSe2N

A geometry-optimized HfPbSe2N structure (GGA-PBE, Alexandria via LeMat-Bulk).

abc: 5.3910 5.3910 4.0623
angles: 90.00 90.00 90.00
Last column: nearest neighbours and their distance in Å.
Positions (direct):
Hf 0.0000 0.0000 0.0000  8 Se 3.38
Pb 0.5000 0.5000 0.5000  2 N 2.03
Se 0.0000 0.5000 0.5000  2 Pb 2.70
Se 0.5000 0.0000 0.5000  2 Pb 2.70
N 0.5000 0.5000 0.0000  2 Pb 2.03

Calculated values
Polymorph energy (0 for the lowest one) ... 1457 meV per atom
DOS at the Fermi energy ... 2.3 states/eV/cell
DFT total energy ... -4.79 eV per atom
ΔE_f (raw) ... 1006.2 meV per atom